TlCoOs2: relaxed, PBEsol.

Output
* excess energy over the best structure of this formula in the dataset: 430 meV per atom
* energy of formation: 942 meV per atom
* magnetization: 0.003 μB per cell

Lattice parameters (Å, degrees): 3.7528 3.7528 4.1892 90.00 90.00 90.00
Closest atoms and distances in Å follow each position.
Space group P4/mmm (No. 123)
Symmetry-distinct sites (fractional):
Tl  0.0000  0.0000  0.0000 x1  4 Co 2.65, 8 Os 2.81
Co  0.5000  0.5000  0.0000 x1  4 Tl 2.65, 8 Os 2.81
Os  0.0000  0.5000  0.5000 x2  4 Os 2.65, 4 Tl 2.81, 4 Co 2.81